(1)
An optimized crystal structure of EuPaRh. Source: Alexandria, functional PBE.

Calculated values
Energy above the most stable polymorph in this dataset = 246.5 meV per atom
Magnetization = 7.63 μB/f.u.

```
EuPaRh
1.0
4.533 0.000 0.000
0.000 4.510 0.000
0.000 -2.255 3.906
Rh Eu Pa
1 1 1
Cartesian
0.608 0.000 0.000
3.024 0.000 2.604
0.901 2.255 1.302
```

***

(2)
An optimized crystal structure of EuPaRh2. Source: Alexandria, functional PBE.

Calculated values
Energy above the most stable polymorph in this dataset = 0.0 meV per atom
Magnetization = 7.06 μB/f.u.

```
EuPaRh2
1.0
-2.921 1.843 0.350
-1.318 -1.558 -2.809
-2.813 -5.266 4.241
Pa Rh Eu
1 2 1
Cartesian
-2.120 0.143 -1.229
-0.565 -1.058 0.852
-2.248 -4.208 3.389
-3.527 -2.490 0.891
```

***

no.,ΔE_f (eV/atom),energy (eV per atom)
1,-0.071,-9.112
2,-0.673,-9.292